Density functional theory data (PBE) for crystalline PrLuCdAg at its relaxed geometry.

The space group is F-43m (No. 216) and the conventional cell measures 7.4624, 7.4624 and 7.4624 Å, with angles of 90.00, 90.00 and 90.00 degrees. The distinct sites, in fractional coordinates, are Pr at (0.0000, 0.0000, 0.0000), Lu at (0.0000, 0.0000, 0.5000), Cd at (0.2500, 0.2500, 0.7500) and Ag at (0.2500, 0.2500, 0.2500).

The calculation puts the energy of formation from the pure elements at -0.275 eV per atom. As for the crystal system: cubic.


Density functional theory data (PBE) for crystalline Be3FeHg at its relaxed geometry.

The space group is Pm-3m (No. 221) and the conventional cell measures 4.3588, 4.3588 and 4.3588 Å, with angles of 90.00, 90.00 and 90.00 degrees. The distinct sites, in fractional coordinates, are Be at (0.0000, 0.0000, 0.5000), Fe at (0.5000, 0.5000, 0.5000) and Hg at (0.0000, 0.0000, 0.0000).

The calculation puts the energy of formation from the pure elements at 1.269 eV per atom. The energy above the lowest structure with this stoichiometry comes out at 493 meV per atom. As for the crystal system: cubic.